CuRh2I: optimized geometry, PBE.

## Properties
Its symmetry is I-42d, No. 122. The calculation puts the formation energy (no corrections) at 523.8 meV per atom. The density of states at the Fermi level is 6.92 states/eV/cell. The total moment is 0.000 μB/cell. The volume comes out at 140.40 Å³ per cell. The calculation puts the energy above the most stable polymorph in this dataset at 0.25 eV per formula unit. For the energy, the calculation gives -4.56 eV per atom.

Cell lengths 9.3406, 9.3406, 9.3406 Å; angles 155.46, 155.46, 34.98 degrees
Fractional positions:
Cu1 0.0000 0.0000 0.0000
Cu2 0.7500 0.2500 0.5000
Rh1 0.1091 0.6250 0.9841
Rh2 0.3750 0.3591 0.4841
Rh3 0.6409 0.1250 0.0159
Rh4 0.8750 0.8909 0.5159
I1 0.2500 0.7500 0.5000
I2 0.5000 0.5000 0.0000